A plane-wave DFT calculation with PBE-GGA was carried out for a geometry-optimized SrNd5Au6 structure.

a b c (Å): 5.2838 7.4565 8.3846
angles (deg): 90.00 108.36 90.00
Element x y z (fractional)
Sr: 0.0000 0.0000 0.0000
Nd: 0.0000 0.5000 0.0000
Nd: 0.3361 0.5000 0.6690
Nd: 0.3369 0.0000 0.6715
Nd: 0.6631 0.0000 0.3285
Nd: 0.6639 0.5000 0.3310
Au: 0.1716 0.2538 0.3477
Au: 0.1716 0.7462 0.3477
Au: 0.5000 0.2651 0.0000
Au: 0.5000 0.7349 0.0000
Au: 0.8284 0.2538 0.6523
Au: 0.8284 0.7462 0.6523

Output
The value obtained for the density of states at the Fermi level is 8.819 states/eV/cell. Its symmetry is P2/m, No. 10. The formation energy comes out at -0.756 eV/atom. Its total magnetization is 0.0 μB per formula unit.